Material: NbZn2H
Method: DFT, PBE
State: relaxed Values from VASP.

For the density of states at the Fermi level, the calculation gives 2.23 states/eV per cell. The raw total energy comes out at -12.352 eV for the cell shown. As for the space group: No. 225.

Structure (Quantum ESPRESSO input):
```
&SYSTEM
  ibrav = 0, nat = 4, ntyp = 3
/
ATOMIC_SPECIES
Zn 65.41 Zn.upf
Nb 92.91 Nb.upf
H 1.01 H.upf
CELL_PARAMETERS angstrom
2.526 -2.455 -2.535
-0.101 -4.323 0.370
-1.770 -2.407 -3.148
ATOMIC_POSITIONS crystal
Zn 0.750 0.750 0.750
Nb 0.500 0.500 0.500
Zn 0.250 0.250 0.250
H 0.000 0.000 0.000
```


Material: NbZnH
Method: DFT, PBE
State: relaxed Values from VASP.

For the density of states at the Fermi level, the calculation gives 1.76 states/eV per cell. The raw total energy comes out at -28.604 eV for the cell shown. As for the space group: No. 8.

Structure (Quantum ESPRESSO input):
```
&SYSTEM
  ibrav = 0, nat = 6, ntyp = 3
/
ATOMIC_SPECIES
H 1.01 H.upf
Zn 65.41 Zn.upf
Nb 92.91 Nb.upf
CELL_PARAMETERS angstrom
2.814 0.000 0.000
0.000 4.820 0.042
-1.407 -0.149 5.598
ATOMIC_POSITIONS crystal
H 0.174 0.383 0.348
Zn 0.384 0.984 0.768
Nb 0.542 0.476 0.085
Zn 0.686 0.969 0.372
H 0.540 0.079 0.080
Nb 0.805 0.487 0.611
```


Material: NbZnH2
Method: DFT, PBE
State: relaxed Values from VASP.

For the density of states at the Fermi level, the calculation gives 1.49 states/eV per cell. The raw total energy comes out at -18.118 eV for the cell shown. As for the space group: No. 160.

Structure (Quantum ESPRESSO input):
```
&SYSTEM
  ibrav = 0, nat = 4, ntyp = 3
/
ATOMIC_SPECIES
Zn 65.41 Zn.upf
Nb 92.91 Nb.upf
H 1.01 H.upf
CELL_PARAMETERS angstrom
-0.179 1.796 -2.535
0.509 -1.226 -2.814
-4.812 -0.892 -2.203
ATOMIC_POSITIONS crystal
Zn 0.493 0.493 0.521
Nb 0.673 0.673 0.980
H 0.052 0.052 0.843
H 0.282 0.282 0.155
```


Material: NbZnH
Method: DFT, PBE
State: relaxed Values from VASP.

For the density of states at the Fermi level, the calculation gives 2.65 states/eV per cell. The raw total energy comes out at -29.810 eV for the cell shown. As for the space group: No. 39.

Structure (Quantum ESPRESSO input):
```
&SYSTEM
  ibrav = 0, nat = 6, ntyp = 3
/
ATOMIC_SPECIES
H 1.01 H.upf
Zn 65.41 Zn.upf
Nb 92.91 Nb.upf
CELL_PARAMETERS angstrom
2.902 0.000 -0.127
0.000 8.364 0.001
-0.127 0.000 2.902
ATOMIC_POSITIONS crystal
H 0.310 0.650 0.721
Zn 0.311 0.345 0.720
H 0.810 0.833 0.221
Nb 0.311 0.895 0.720
Nb 0.810 0.589 0.220
Zn 0.812 0.139 0.219
```


Material: NbZnH
Method: DFT, PBE
State: relaxed Values from VASP.

For the density of states at the Fermi level, the calculation gives 1.16 states/eV per cell. The raw total energy comes out at -29.744 eV for the cell shown. As for the space group: No. 1.

Structure (Quantum ESPRESSO input):
```
&SYSTEM
  ibrav = 0, nat = 6, ntyp = 3
/
ATOMIC_SPECIES
Zn 65.41 Zn.upf
H 1.01 H.upf
Nb 92.91 Nb.upf
CELL_PARAMETERS angstrom
-0.849 3.323 -3.071
-0.793 -3.733 -3.957
-2.699 0.332 1.109
ATOMIC_POSITIONS crystal
Zn 0.726 0.126 0.226
H 0.459 0.872 0.128
Nb 0.695 0.583 0.904
H 0.086 0.654 0.041
Zn 0.216 0.345 0.333
Nb 0.182 0.872 0.641
```


Material: Nb6ZnH
Method: DFT, PBE
State: relaxed Values from VASP.

For the density of states at the Fermi level, the calculation gives 7.98 states/eV per cell. The raw total energy comes out at -64.742 eV for the cell shown. As for the space group: No. 2.

Structure (Quantum ESPRESSO input):
```
&SYSTEM
  ibrav = 0, nat = 8, ntyp = 3
/
ATOMIC_SPECIES
Nb 92.91 Nb.upf
H 1.01 H.upf
Zn 65.41 Zn.upf
CELL_PARAMETERS angstrom
4.604 -0.238 -1.233
2.000 4.904 -1.185
1.263 1.290 5.060
ATOMIC_POSITIONS crystal
Nb 0.382 0.776 0.923
Nb 0.784 0.929 0.646
H 0.000 0.000 0.000
Nb 0.216 0.071 0.354
Nb 0.618 0.224 0.077
Zn 0.500 0.500 0.500
Nb 0.933 0.642 0.213
Nb 0.067 0.358 0.787
```


Number 1: total magnetization 0.00 Bohr magnetons per cell. Number 2: total magnetization 0.00 Bohr magnetons per cell. Number 3: total magnetization 0.00 Bohr magnetons per cell. Number 4: total magnetization 0.00 Bohr magnetons per cell. Number 5: total magnetization 0.00 Bohr magnetons per cell. Number 6: total magnetization 0.00 Bohr magnetons per cell.